<a>
BeCo2Br | the Alexandria database | GGA-PBE | relaxed; V = 55.8 Å³/f.u.; SG = C2/m
1.0
2.965 -1.702 0.000
2.965 1.702 0.000
-1.940 0.000 5.532
Be Co Br
1 2 1
Direct
0.000 0.000 0.000
0.283 0.283 0.848
0.717 0.717 0.152
0.500 0.500 0.500


<b>
BeCo2Br | the Alexandria database | GGA-PBE | relaxed; V = 64.4 Å³/f.u.; SG = Pmm2
1.0
3.153 0.000 0.000
0.000 3.455 0.000
0.000 0.000 5.913
Be Co Br
1 2 1
Direct
0.000 0.000 0.000
0.000 0.500 0.744
0.500 0.000 0.693
0.500 0.000 0.265


<a> is the least stable structure shown above.